The following is a DFT calculation (PBEsol) of a geometry-optimized MgAlSe2 structure.

POSCAR file:
```
MgAlSe2
1.0
-0.413 2.640 1.837
-2.375 -2.111 0.647
4.954 -3.631 6.331
Se Al Mg
2 1 1
direct
0.500 0.500 0.692 Se
0.000 0.000 0.046 Se
0.000 0.000 0.519 Al
0.500 0.500 0.244 Mg
```

Results
As for the total magnetization: 0.000 μB per atom. The uncorrected formation energy comes out at -4.8 kcal/mol of atoms. The total energy comes out at -14.34 eV/cell. The value obtained for the polymorph energy (0 for the lowest one) is 387 meV/atom.

***

The following is a DFT calculation (PBEsol) of a geometry-optimized MgAl3Se structure.

POSCAR file:
```
MgAl3Se
1.0
-1.274 4.539 1.577
-4.763 -1.410 0.209
0.638 -1.458 4.710
Mg Se Al
1 1 3
direct
0.500 0.500 0.500 Mg
0.000 0.000 0.000 Se
0.000 0.000 0.500 Al
0.000 0.500 0.000 Al
0.500 0.000 0.000 Al
```

Results
As for the total magnetization: 0.000 μB per atom. The uncorrected formation energy comes out at 12.3 kcal/mol of atoms. The total energy comes out at -15.18 eV/cell.

***

The following is a DFT calculation (PBEsol) of a geometry-optimized MgAl2Se structure.

POSCAR file:
```
MgAl2Se
1.0
3.456 0.000 0.000
1.728 2.993 0.000
1.728 0.998 7.786
Al Se Mg
2 1 1
direct
0.741 0.741 0.776 Al
0.259 0.259 0.224 Al
0.000 0.000 0.000 Se
0.500 0.500 0.500 Mg
```

Results
As for the total magnetization: 0.000 μB per atom. The uncorrected formation energy comes out at -2.6 kcal/mol of atoms. The total energy comes out at -14.20 eV/cell. The value obtained for the polymorph energy (0 for the lowest one) is 30 meV/atom.

***

The following is a DFT calculation (PBEsol) of a geometry-optimized Mg2Al2Se5 structure.

POSCAR file:
```
Mg2Al2Se5
1.0
-3.688 1.142 0.259
1.491 -0.961 -3.439
-4.585 -15.322 2.292
Se Mg Al
5 2 2
direct
0.333 0.667 0.315 Se
0.667 0.333 0.685 Se
0.000 0.000 0.500 Se
0.667 0.333 0.106 Se
0.333 0.667 0.894 Se
0.667 0.333 0.402 Mg
0.333 0.667 0.598 Mg
0.667 0.333 0.828 Al
0.333 0.667 0.172 Al
```

Results
As for the total magnetization: 0.000 μB per atom. The uncorrected formation energy comes out at -23.2 kcal/mol of atoms. The total energy comes out at -39.91 eV/cell.

***

The following is a DFT calculation (PBEsol) of a geometry-optimized MgAlSe2 structure.

POSCAR file:
```
MgAlSe2
1.0
3.695 0.000 0.000
1.848 3.200 0.000
1.848 1.067 7.973
Mg Al Se
1 1 2
direct
0.000 0.000 0.000 Mg
0.500 0.500 0.500 Al
0.109 0.109 0.673 Se
0.891 0.891 0.327 Se
```

Results
As for the total magnetization: 0.102 μB per atom. The uncorrected formation energy comes out at -13.7 kcal/mol of atoms. The total energy comes out at -15.89 eV/cell. The value obtained for the polymorph energy (0 for the lowest one) is 0 meV/atom.

***

The following is a DFT calculation (PBEsol) of a geometry-optimized MgAl2Se structure.

POSCAR file:
```
MgAl2Se
1.0
-2.251 2.308 1.521
1.493 -1.015 3.676
3.736 3.928 -0.432
Se Mg Al
1 1 2
direct
0.500 0.000 0.500 Se
0.000 0.500 0.500 Mg
0.252 0.248 0.000 Al
0.748 0.752 0.000 Al
```

Results
As for the total magnetization: 0.000 μB per atom. The uncorrected formation energy comes out at -3.3 kcal/mol of atoms. The total energy comes out at -14.32 eV/cell. The value obtained for the polymorph energy (0 for the lowest one) is 0 meV/atom.

***

The following is a DFT calculation (PBEsol) of a geometry-optimized MgAlSi2 structure.

POSCAR file:
```
MgAlSi2
1.0
2.852 0.000 0.000
0.000 4.076 0.000
0.000 0.000 5.586
Si Mg Al
2 1 1
direct
0.500 0.500 0.265 Si
0.000 0.000 0.995 Si
0.500 0.500 0.766 Mg
0.000 0.000 0.473 Al
```

Results
As for the total magnetization: 0.000 μB per atom. The uncorrected formation energy comes out at 4.0 kcal/mol of atoms. The total energy comes out at -16.61 eV/cell. The value obtained for the polymorph energy (0 for the lowest one) is 44 meV/atom.

***

The following is a DFT calculation (PBEsol) of a geometry-optimized Mg4AlSi structure.

POSCAR file:
```
Mg4AlSi
1.0
-3.134 -3.803 -2.659
1.882 -2.384 -4.704
1.527 -5.387 0.009
Mg Si Al
4 1 1
direct
0.375 0.375 0.375 Mg
0.375 0.875 0.375 Mg
0.375 0.375 0.875 Mg
0.875 0.375 0.375 Mg
0.750 0.750 0.750 Si
0.000 0.000 0.000 Al
```

Results
As for the total magnetization: 0.000 μB per atom. The uncorrected formation energy comes out at 7.4 kcal/mol of atoms. The total energy comes out at -14.77 eV/cell.

***

The following is a DFT calculation (PBEsol) of a geometry-optimized MgAlSi2 structure.

POSCAR file:
```
MgAlSi2
1.0
-0.672 -3.201 -0.510
3.140 -0.772 0.706
-1.478 -0.628 5.889
Si Al Mg
2 1 1
direct
0.500 0.500 0.224 Si
0.000 0.000 0.049 Si
0.000 0.000 0.466 Al
0.500 0.500 0.761 Mg
```

Results
As for the total magnetization: 0.000 μB per atom. The uncorrected formation energy comes out at 2.9 kcal/mol of atoms. The total energy comes out at -16.79 eV/cell. The value obtained for the polymorph energy (0 for the lowest one) is 0 meV/atom.

***

The following is a DFT calculation (PBEsol) of a geometry-optimized Mg16Al12Si structure.

POSCAR file:
```
Mg16Al12Si
1.0
8.996 0.003 0.006
-2.961 8.495 0.006
-2.961 -4.170 7.400
Al Mg Si
12 16 1
direct
0.185 0.807 0.185 Al
0.357 0.357 0.168 Al
0.632 0.815 0.000 Al
0.632 0.000 0.815 Al
0.000 0.815 0.632 Al
0.000 0.632 0.815 Al
0.168 0.357 0.357 Al
0.185 0.185 0.807 Al
0.815 0.000 0.632 Al
0.807 0.185 0.185 Al
0.815 0.632 0.000 Al
0.357 0.168 0.357 Al
0.003 0.003 0.003 Mg
0.997 0.317 0.595 Mg
0.997 0.595 0.317 Mg
0.595 0.317 0.997 Mg
0.347 0.998 0.998 Mg
0.317 0.595 0.997 Mg
0.998 0.347 0.998 Mg
0.683 0.683 0.281 Mg
0.415 0.704 0.415 Mg
0.415 0.415 0.704 Mg
0.317 0.997 0.595 Mg
0.595 0.997 0.317 Mg
0.704 0.415 0.415 Mg
0.683 0.281 0.683 Mg
0.281 0.683 0.683 Mg
0.998 0.998 0.347 Mg
0.704 0.704 0.704 Si
```

Results
As for the total magnetization: 0.000 μB per atom. The uncorrected formation energy comes out at 0.0 kcal/mol of atoms. The total energy comes out at -82.26 eV/cell.

***

The following is a DFT calculation (PBEsol) of a geometry-optimized Mg17Al11Si structure.

POSCAR file:
```
Mg17Al11Si
1.0
9.004 -0.007 0.000
-2.993 8.552 0.000
-3.005 -4.272 7.386
Mg Al Si
17 11 1
direct
0.602 0.999 0.314 Mg
0.001 0.317 0.603 Mg
0.652 0.653 0.653 Mg
0.715 0.398 0.398 Mg
0.321 0.604 0.000 Mg
0.999 0.000 0.347 Mg
0.685 0.683 0.287 Mg
0.287 0.684 0.686 Mg
0.317 0.999 0.602 Mg
0.398 0.714 0.397 Mg
0.603 0.316 0.000 Mg
0.398 0.396 0.713 Mg
0.000 0.602 0.315 Mg
0.345 0.002 0.000 Mg
0.000 0.001 0.000 Mg
0.685 0.287 0.685 Mg
0.000 0.345 0.000 Mg
0.816 0.181 0.184 Al
0.181 0.367 0.368 Al
0.999 0.633 0.815 Al
0.184 0.818 0.185 Al
0.186 0.186 0.818 Al
0.368 0.368 0.182 Al
0.632 0.997 0.816 Al
0.367 0.181 0.367 Al
0.807 0.636 0.000 Al
0.001 0.814 0.633 Al
0.814 0.999 0.632 Al
0.633 0.817 0.000 Si
```

Results
As for the total magnetization: 0.000 μB per atom. The uncorrected formation energy comes out at -0.3 kcal/mol of atoms. The total energy comes out at -80.35 eV/cell.

***

The following is a DFT calculation (PBEsol) of a geometry-optimized MgAlSi structure.

POSCAR file:
```
MgAlSi
1.0
-0.025 -2.929 0.470
-0.304 -0.580 -3.631
4.891 1.654 1.201
Al Si Mg
1 1 1
direct
0.981 0.981 0.962 Al
0.349 0.349 0.697 Si
0.670 0.670 0.341 Mg
```

Results
As for the total magnetization: 0.000 μB per atom. The uncorrected formation energy comes out at 2.0 kcal/mol of atoms. The total energy comes out at -11.30 eV/cell. The value obtained for the polymorph energy (0 for the lowest one) is 153 meV/atom.

***

The following is a DFT calculation (PBEsol) of a geometry-optimized MgAlSi structure.

POSCAR file:
```
MgAlSi
1.0
-1.029 -2.446 1.349
2.499 -1.448 -0.719
1.698 3.672 4.670
Mg Al Si
1 1 1
direct
0.672 0.672 0.345 Mg
0.987 0.987 0.974 Al
0.341 0.341 0.681 Si
```

Results
As for the total magnetization: 0.000 μB per atom. The uncorrected formation energy comes out at 1.9 kcal/mol of atoms. The total energy comes out at -11.31 eV/cell. The value obtained for the polymorph energy (0 for the lowest one) is 152 meV/atom.

***

The following is a DFT calculation (PBEsol) of a geometry-optimized MgAl2Si2 structure.

POSCAR file:
```
MgAl2Si2
1.0
4.062 0.000 0.000
-2.031 3.518 0.000
0.000 0.000 6.593
Si Al Mg
2 2 1
direct
0.667 0.333 0.240 Si
0.333 0.667 0.760 Si
0.333 0.667 0.366 Al
0.667 0.333 0.634 Al
0.000 0.000 0.000 Mg
```

Results
As for the total magnetization: 0.000 μB per atom. The uncorrected formation energy comes out at -0.2 kcal/mol of atoms. The total energy comes out at -21.44 eV/cell.

***

The following is a DFT calculation (PBEsol) of a geometry-optimized MgAlSi structure.

POSCAR file:
```
MgAlSi
1.0
-1.979 -2.669 -2.266
1.066 -4.653 4.549
-6.793 1.973 3.610
Al Si Mg
4 4 4
direct
0.250 0.641 0.434 Al
0.750 0.859 0.934 Al
0.250 0.141 0.066 Al
0.750 0.359 0.566 Al
0.250 0.260 0.378 Si
0.250 0.760 0.122 Si
0.750 0.740 0.622 Si
0.750 0.240 0.878 Si
0.250 0.035 0.673 Mg
0.250 0.535 0.827 Mg
0.750 0.465 0.173 Mg
0.750 0.965 0.327 Mg
```

Results
As for the total magnetization: 0.000 μB per atom. The uncorrected formation energy comes out at -1.6 kcal/mol of atoms. The total energy comes out at -47.04 eV/cell. The value obtained for the polymorph energy (0 for the lowest one) is 0 meV/atom.

***

The following is a DFT calculation (PBEsol) of a geometry-optimized SmMg16Al12 structure.

POSCAR file:
```
SmMg16Al12
1.0
-3.600 -4.572 6.970
4.915 -5.664 -5.119
5.340 6.628 3.163
Al Mg Sm
12 16 1
direct
0.187 0.369 0.000 Al
0.813 0.182 0.813 Al
0.813 0.813 0.182 Al
0.369 0.187 0.000 Al
0.818 0.631 0.631 Al
0.000 0.369 0.187 Al
0.631 0.631 0.818 Al
0.631 0.818 0.631 Al
0.369 0.000 0.187 Al
0.000 0.187 0.369 Al
0.182 0.813 0.813 Al
0.187 0.000 0.369 Al
0.681 0.398 0.000 Mg
0.641 0.000 0.000 Mg
0.681 0.000 0.398 Mg
0.602 0.602 0.283 Mg
0.319 0.319 0.717 Mg
0.717 0.319 0.319 Mg
0.000 0.641 0.000 Mg
0.283 0.602 0.602 Mg
0.359 0.359 0.359 Mg
0.398 0.000 0.681 Mg
0.000 0.681 0.398 Mg
0.602 0.283 0.602 Mg
0.398 0.681 0.000 Mg
0.319 0.717 0.319 Mg
0.000 0.398 0.681 Mg
0.000 0.000 0.641 Mg
0.000 0.000 0.000 Sm
```

Results
As for the total magnetization: 0.000 μB per atom. As for the formation energy: -0.0699 eV/atom. The total energy comes out at -83.69 eV/cell.

***

The following is a DFT calculation (PBEsol) of a geometry-optimized Mg2AlSn2 structure.

POSCAR file:
```
Mg2AlSn2
1.0
4.649 0.000 0.000
0.000 4.649 0.000
-2.324 -2.324 6.033
Mg Al Sn
2 1 2
direct
0.250 0.750 0.500 Mg
0.750 0.250 0.500 Mg
0.000 0.000 0.000 Al
0.388 0.388 0.777 Sn
0.612 0.612 0.223 Sn
```

Results
As for the total magnetization: 0.000 μB per atom. As for the formation energy: 0.1804 eV/atom. The total energy comes out at -15.14 eV/cell.

***

The following is a DFT calculation (PBEsol) of a geometry-optimized MgAl2Sn structure.

POSCAR file:
```
MgAl2Sn
1.0
-5.456 -0.916 1.088
-3.401 -2.600 -4.633
-1.473 -5.598 2.508
Mg Al Sn
2 4 2
direct
0.250 0.500 0.500 Mg
0.500 0.000 0.000 Mg
0.375 0.976 0.524 Al
0.101 0.524 0.024 Al
0.649 0.476 0.976 Al
0.875 0.024 0.476 Al
0.750 0.500 0.500 Sn
0.000 0.000 0.000 Sn
```

Results
As for the total magnetization: 0.000 μB per atom. As for the formation energy: 0.2062 eV/atom. The total energy comes out at -26.67 eV/cell.

***

The following is a DFT calculation (PBEsol) of a geometry-optimized SrMgAl structure.

POSCAR file:
```
SrMgAl
1.0
-2.097 -1.006 2.809
2.661 -2.183 1.205
1.993 6.218 1.347
Mg Al Sr
1 1 1
direct
0.362 0.362 0.725 Mg
0.979 0.979 0.958 Al
0.659 0.659 0.317 Sr
```

Results
As for the total magnetization: 0.000 μB per atom. As for the formation energy: -0.0160 eV/atom. The total energy comes out at -7.70 eV/cell.

***

The following is a DFT calculation (PBEsol) of a geometry-optimized Sr2MgAl structure.

POSCAR file:
```
Sr2MgAl
1.0
-1.334 0.827 -3.573
3.084 -1.804 -1.569
-4.304 -7.286 -0.080
Sr Mg Al
2 1 1
direct
0.000 0.000 0.229 Sr
0.000 0.000 0.771 Sr
0.500 0.500 0.500 Mg
0.500 0.500 0.000 Al
```

Results
As for the total magnetization: 0.000 μB per atom. As for the formation energy: -0.0809 eV/atom. The total energy comes out at -9.81 eV/cell.

***

The following is a DFT calculation (PBEsol) of a geometry-optimized Sr2MgAl structure.

POSCAR file:
```
Sr2MgAl
1.0
3.812 0.000 0.000
0.000 5.718 0.000
-1.906 -2.859 5.886
Mg Sr Al
1 2 1
direct
0.207 0.707 0.413 Mg
0.785 0.285 0.569 Sr
0.984 0.984 0.969 Sr
0.525 0.525 0.049 Al
```

Results
As for the total magnetization: 0.000 μB per atom. As for the formation energy: -0.0521 eV/atom. The total energy comes out at -9.70 eV/cell.

***

The following is a DFT calculation (PBEsol) of a geometry-optimized Sr2MgAl structure.

POSCAR file:
```
Sr2MgAl
1.0
3.825 0.000 0.000
0.000 3.825 0.000
0.000 0.000 9.191
Sr Al Mg
2 1 1
direct
0.500 0.500 0.315 Sr
0.000 0.000 0.944 Sr
0.000 0.000 0.550 Al
0.500 0.500 0.690 Mg
```

Results
As for the total magnetization: 0.000 μB per atom. As for the formation energy: 0.0085 eV/atom. The total energy comes out at -9.46 eV/cell.

***

The following is a DFT calculation (PBEsol) of a geometry-optimized Sr4Mg3Al5 structure.

POSCAR file:
```
Sr4Mg3Al5
1.0
5.995 0.000 0.000
-2.997 5.192 0.000
0.000 0.000 19.686
Al Mg Sr
10 6 8
direct
0.328 0.164 0.750 Al
0.672 0.836 0.250 Al
0.836 0.672 0.750 Al
0.836 0.164 0.750 Al
0.164 0.328 0.250 Al
0.667 0.333 0.640 Al
0.667 0.333 0.860 Al
0.164 0.836 0.250 Al
0.333 0.667 0.140 Al
0.333 0.667 0.360 Al
0.500 0.500 0.500 Mg
0.500 0.000 0.500 Mg
0.500 0.500 0.000 Mg
0.000 0.500 0.000 Mg
0.000 0.500 0.500 Mg
0.500 0.000 0.000 Mg
0.667 0.333 0.339 Sr
0.000 0.000 0.602 Sr
0.000 0.000 0.102 Sr
0.333 0.667 0.839 Sr
0.000 0.000 0.898 Sr
0.000 0.000 0.398 Sr
0.667 0.333 0.161 Sr
0.333 0.667 0.661 Sr
```

Results
As for the total magnetization: 0.000 μB per atom. As for the formation energy: -0.2011 eV/atom. The total energy comes out at -70.77 eV/cell.

***

The following is a DFT calculation (PBEsol) of a geometry-optimized SrMg2Al structure.

POSCAR file:
```
SrMg2Al
1.0
3.210 0.005 0.000
-0.439 5.833 0.000
-1.386 -2.919 5.610
Sr Mg Al
1 2 1
direct
0.500 0.000 0.000 Sr
0.500 0.500 0.500 Mg
0.000 0.000 0.500 Mg
0.000 0.500 0.000 Al
```

Results
As for the total magnetization: 0.000 μB per atom. As for the formation energy: 0.1256 eV/atom. The total energy comes out at -8.86 eV/cell.